Entry from Alexandria via LeMat-Bulk: crystalline ZnAu at its relaxed geometry (PBEsol).

Properties
**Energy**: -2.9771 eV/atom
**Formation energy**: -0.224 eV per atom

Cell lengths 3.1245, 3.1245, 3.1245 Å; angles 90.00, 90.00, 90.00 degrees
Positions (direct):
Zn 0.0000 0.0000 0.0000
Au 0.5000 0.5000 0.5000

=====

Entry from Alexandria via LeMat-Bulk: crystalline ZnAu at its relaxed geometry (PBEsol).

Properties
**Energy**: -2.9646 eV/atom
**Formation energy**: -0.212 eV per atom

Cell lengths 4.9164, 4.9164, 4.3598 Å; angles 106.86, 106.86, 37.79 degrees
Positions (direct):
Zn 0.1281 0.1281 0.3375
Zn 0.8719 0.8719 0.6625
Au 0.3833 0.3833 0.1726
Au 0.6167 0.6167 0.8274

=====

Entry from Alexandria via LeMat-Bulk: crystalline ZnAu at its relaxed geometry (PBEsol).

Properties
**Energy**: -2.9317 eV/atom
**Formation energy**: -0.179 eV per atom

Cell lengths 3.3025, 4.3896, 4.3330 Å; angles 90.00, 90.00, 90.00 degrees
Positions (direct):
Zn 0.2500 0.2500 0.0654
Zn 0.7500 0.7500 0.9346
Au 0.2500 0.7500 0.4087
Au 0.7500 0.2500 0.5913